No. 1
Material: ErGa2F8
Method: DFT, PBE-GGA
State: optimized geometry

Results
ΔE_f (raw) (meV/atom): -2874
Energy above the lowest structure with this stoichiometry (meV per atom): 71
Uncorrected energy (eV/cell): -57.20

a = 6.6655 Å, b = 6.6655 Å, c = 4.0583 Å
α = 90.00°, β = 90.00°, γ = 120.00°
Space group P-3 (No. 147)
One atom of each set of equivalent atoms:
Er  0.0000  0.0000  0.0000
Ga  0.3333  0.6667  0.7390
F  0.1649  0.3314  0.7417
F  0.3333  0.6667  0.2438


No. 2
Material: Cs2HgAuO
Method: DFT, PBE-GGA
State: optimized geometry

Results
ΔE_f (raw) (meV/atom): -527
Energy above the lowest structure with this stoichiometry (meV per atom): 81
Uncorrected energy (eV/cell): -12.88

a = 6.2722 Å, b = 6.2722 Å, c = 4.5816 Å
α = 90.00°, β = 90.00°, γ = 90.00°
Space group P4/mmm (No. 123)
One atom of each set of equivalent atoms:
Cs  0.0000  0.5000  0.0000
Hg  0.0000  0.0000  0.5000
Au  0.5000  0.5000  0.5000
O  0.0000  0.0000  0.0000


No. 3
Material: Ac8La2Sm3
Method: DFT, PBE-GGA
State: optimized geometry

Results
Formation enthalpy at 0 K (kJ/mol of formula units): 259
Energy above the lowest structure with this stoichiometry (meV per atom): 32
Uncorrected energy (eV/cell): -108.38

a = 21.4710 Å, b = 8.3783 Å, c = 6.1828 Å
α = 90.00°, β = 90.02°, γ = 90.00°
Space group C2/m (No. 12)
One atom of each set of equivalent atoms:
Ac  0.1028  0.2087  0.0002
Ac  0.1306  0.5000  0.4999
Ac  0.1713  0.0000  0.5004
La  0.2418  0.5000  0.9996
Sm  0.0000  0.2101  0.5000
Sm  0.0000  0.5000  0.0000


No. 4
Material: BaInSi
Method: DFT, PBE-GGA
State: optimized geometry

Results
ΔE_f (raw) (meV/atom): 93
Uncorrected energy (eV/cell): -39.22

a = 7.3931 Å, b = 7.3931 Å, c = 7.3931 Å
α = 90.00°, β = 90.00°, γ = 90.00°
Space group F-43m (No. 216)
One atom of each set of equivalent atoms:
Ba  0.0000  0.0000  0.0000
In  0.2500  0.2500  0.2500
Si  0.0000  0.0000  0.5000


No. 5
Material: K3MnRu
Method: DFT, PBE-GGA
State: optimized geometry

Results
Formation enthalpy at 0 K (kJ/mol of formula units): 675
Energy above the lowest structure with this stoichiometry (meV per atom): 0
Uncorrected energy (eV/cell): -14.74

a = 6.1648 Å, b = 6.1648 Å, c = 6.1648 Å
α = 90.00°, β = 90.00°, γ = 90.00°
Space group Pm-3m (No. 221)
One atom of each set of equivalent atoms:
K  0.0000  0.0000  0.5000
Mn  0.5000  0.5000  0.5000
Ru  0.0000  0.0000  0.0000


No. 6
Material: TmSc2Cu4
Method: DFT, PBE-GGA
State: optimized geometry

Results
Formation enthalpy at 0 K (kJ/mol of formula units): -6
Uncorrected energy (eV/cell): -67.16

a = 4.7075 Å, b = 4.7075 Å, c = 12.2287 Å
α = 90.00°, β = 90.00°, γ = 90.00°
Space group I4/mmm (No. 139)
One atom of each set of equivalent atoms:
Tm  0.0000  0.0000  0.0000
Sc  0.0000  0.0000  0.2679
Cu  0.0000  0.5000  0.1317


No. 7
Material: NpNbSi2
Method: DFT, PBE-GGA
State: optimized geometry

Results
ΔE_f (raw) (meV/atom): -151
Uncorrected energy (eV/cell): -103.38

a = 3.6537 Å, b = 3.6537 Å, c = 20.3077 Å
α = 90.00°, β = 90.00°, γ = 120.00°
Space group R-3m (No. 166, hexagonal axes)
One atom of each set of equivalent atoms:
Np  0.0000  0.0000  0.0000
Nb  0.0000  0.0000  0.5000
Si  0.0000  0.0000  0.2409


No. 8
Material: KFeOs2
Method: DFT, PBE-GGA
State: optimized geometry

Results
Formation enthalpy at 0 K (kJ/mol of formula units): 336
Energy above the lowest structure with this stoichiometry (meV per atom): 111
Uncorrected energy (eV/cell): -57.07

a = 8.8473 Å, b = 2.7149 Å, c = 6.9635 Å
α = 90.00°, β = 95.18°, γ = 90.00°
Space group Cm (No. 8)
One atom of each set of equivalent atoms:
K  0.0000  0.0000  0.0000
Fe  0.2270  0.0000  0.6573
Os  0.0077  0.5000  0.4848
Os  0.2699  0.5000  0.3671


| no. | volume (Å³ per atom) |
| --- | --- |
| 1 | 14.2 |
| 2 | 36.0 |
| 3 | 42.8 |
| 4 | 33.7 |
| 5 | 46.9 |
| 6 | 19.4 |
| 7 | 19.6 |
| 8 | 20.8 |